Record 1
Ca2FePd: optimized geometry, PBE.

The structure in CIF format:
```
data_Ca2FePd
_chemical_formula_sum 'Ca2 Fe1 Pd1'
_symmetry_space_group_name_H-M 'P 1'
_symmetry_Int_Tables_number 1
_symmetry_space_group_name_Hall 'P 1'
_cell_length_a 5.025
_cell_length_b 5.025
_cell_length_c 5.025
_cell_angle_alpha 60.00
_cell_angle_beta 60.00
_cell_angle_gamma 60.00
loop_
_atom_site_label
_atom_site_type_symbol
_atom_site_fract_x
_atom_site_fract_y
_atom_site_fract_z
Ca1 Ca 0.250 0.250 0.250
Ca2 Ca 0.750 0.750 0.750
Fe1 Fe 0.000 0.000 0.000
Pd1 Pd 0.500 0.500 0.500
```

For the energy above the lowest structure with this stoichiometry, the calculation gives 0.0 meV per atom. The value obtained for the total energy is -4.332 eV/atom.

***

Record 2
Ca2FePdRh: optimized geometry, PBE.

The structure in CIF format:
```
data_Ca2FePdRh
_chemical_formula_sum 'Ca2 Fe1 Pd1 Rh1'
_symmetry_space_group_name_H-M 'P 1'
_symmetry_Int_Tables_number 1
_symmetry_space_group_name_Hall 'P 1'
_cell_length_a 5.214
_cell_length_b 5.214
_cell_length_c 4.334
_cell_angle_alpha 90.00
_cell_angle_beta 90.00
_cell_angle_gamma 90.00
loop_
_atom_site_label
_atom_site_type_symbol
_atom_site_fract_x
_atom_site_fract_y
_atom_site_fract_z
Ca1 Ca 0.000 0.500 0.000
Ca2 Ca 0.500 0.000 0.000
Fe1 Fe 0.000 0.000 0.000
Pd1 Pd 0.500 0.500 0.500
Rh1 Rh 0.000 0.000 0.500
```

The value obtained for the total energy is -4.612 eV/atom.

***

Record 3
CaTa2FePd: optimized geometry, PBE.

The structure in CIF format:
```
data_CaTa2FePd
_chemical_formula_sum 'Ca1 Ta2 Fe1 Pd1'
_symmetry_space_group_name_H-M 'P 1'
_symmetry_Int_Tables_number 1
_symmetry_space_group_name_Hall 'P 1'
_cell_length_a 4.861
_cell_length_b 4.861
_cell_length_c 4.800
_cell_angle_alpha 90.00
_cell_angle_beta 90.00
_cell_angle_gamma 90.00
loop_
_atom_site_label
_atom_site_type_symbol
_atom_site_fract_x
_atom_site_fract_y
_atom_site_fract_z
Ca1 Ca 0.000 0.000 0.000
Ta1 Ta 0.000 0.500 0.500
Ta2 Ta 0.500 0.000 0.500
Fe1 Fe 0.500 0.500 0.000
Pd1 Pd 0.500 0.500 0.500
```

The value obtained for the total energy is -6.530 eV/atom.

***

Record 4
CaFePdW2: optimized geometry, PBE.

The structure in CIF format:
```
data_CaFePdW2
_chemical_formula_sum 'Ca1 Fe1 Pd1 W2'
_symmetry_space_group_name_H-M 'P 1'
_symmetry_Int_Tables_number 1
_symmetry_space_group_name_Hall 'P 1'
_cell_length_a 4.769
_cell_length_b 4.769
_cell_length_c 5.042
_cell_angle_alpha 90.00
_cell_angle_beta 90.00
_cell_angle_gamma 90.00
loop_
_atom_site_label
_atom_site_type_symbol
_atom_site_fract_x
_atom_site_fract_y
_atom_site_fract_z
Ca1 Ca 0.000 0.000 0.000
Fe1 Fe 0.500 0.500 0.000
Pd1 Pd 0.000 0.000 0.500
W1 W 0.000 0.500 0.500
W2 W 0.500 0.000 0.500
```

The value obtained for the total energy is -6.136 eV/atom.

***

Record 5
CaPrFe4: optimized geometry, PBE.

The structure in CIF format:
```
data_CaPrFe4
_chemical_formula_sum 'Ca1 Pr1 Fe4'
_symmetry_space_group_name_H-M 'P 1'
_symmetry_Int_Tables_number 1
_symmetry_space_group_name_Hall 'P 1'
_cell_length_a 5.243
_cell_length_b 5.243
_cell_length_c 5.243
_cell_angle_alpha 60.00
_cell_angle_beta 60.00
_cell_angle_gamma 60.00
loop_
_atom_site_label
_atom_site_type_symbol
_atom_site_fract_x
_atom_site_fract_y
_atom_site_fract_z
Ca1 Ca 0.000 0.000 0.000
Pr1 Pr 0.750 0.750 0.750
Fe1 Fe 0.375 0.375 0.375
Fe2 Fe 0.375 0.375 0.876
Fe3 Fe 0.375 0.876 0.375
Fe4 Fe 0.876 0.375 0.375
```

The value obtained for the total energy is -6.591 eV/atom.

***

Record 6
CaFePt: optimized geometry, PBE.

The structure in CIF format:
```
data_CaFePt
_chemical_formula_sum 'Ca1 Fe1 Pt1'
_symmetry_space_group_name_H-M 'P 1'
_symmetry_Int_Tables_number 1
_symmetry_space_group_name_Hall 'P 1'
_cell_length_a 4.545
_cell_length_b 4.545
_cell_length_c 4.545
_cell_angle_alpha 60.00
_cell_angle_beta 60.00
_cell_angle_gamma 60.00
loop_
_atom_site_label
_atom_site_type_symbol
_atom_site_fract_x
_atom_site_fract_y
_atom_site_fract_z
Ca1 Ca 0.000 0.000 0.000
Fe1 Fe 0.500 0.500 0.500
Pt1 Pt 0.250 0.250 0.250
```

The value obtained for the total energy is -5.509 eV/atom.

***

> What is the formula in the fifth record?

CaPrFe4

***

What did the fourth record say?
CaFePdW2: optimized geometry, PBE.

The structure in CIF format:
```
data_CaFePdW2
_chemical_formula_sum 'Ca1 Fe1 Pd1 W2'
_symmetry_space_group_name_H-M 'P 1'
_symmetry_Int_Tables_number 1
_symmetry_space_group_name_Hall 'P 1'
_cell_length_a 4.769
_cell_length_b 4.769
_cell_length_c 5.042
_cell_angle_alpha 90.00
_cell_angle_beta 90.00
_cell_angle_gamma 90.00
loop_
_atom_site_label
_atom_site_type_symbol
_atom_site_fract_x
_atom_site_fract_y
_atom_site_fract_z
Ca1 Ca 0.000 0.000 0.000
Fe1 Fe 0.500 0.500 0.000
Pd1 Pd 0.000 0.000 0.500
W1 W 0.000 0.500 0.500
W2 W 0.500 0.000 0.500
```

The value obtained for the total energy is -6.136 eV/atom.